[1]
{"formula": "ZnGaCu2", "functional": "PBE-GGA", "state": "optimized geometry", "dos_at_fermi_per_ev_cell": 2.94, "delta_e_f_mev_per_atom": 13, "sg": "P3_121, No. 152", "cell": [[5.383, 0.000, 0.000], [-2.692, 4.662, 0.000], [0.000, 0.000, 6.799]], "species": ["Cu", "Cu", "Cu", "Cu", "Zn", "Ga", "Cu", "Cu", "Ga", "Ga", "Zn", "Zn"], "frac_coords": [[0.465, 0.629, 0.646], [0.535, 0.163, 0.688], [0.371, 0.837, 0.979], [0.629, 0.465, 0.354], [0.000, 0.621, 0.667], [0.000, 0.870, 0.167], [0.163, 0.535, 0.312], [0.837, 0.371, 0.021], [0.130, 0.130, 0.500], [0.870, 0.000, 0.833], [0.621, 0.000, 0.333], [0.379, 0.379, 0.000]]}


[2]
{"formula": "Zn5Ga2Cu4", "functional": "PBE-GGA", "state": "optimized geometry", "dos_at_fermi_per_ev_cell": 3.26, "delta_e_f_mev_per_atom": 8, "sg": "Immm, No. 71", "cell": [[4.853, 0.000, 0.000], [2.427, 5.815, -0.425], [2.427, 1.056, 5.735]], "species": ["Cu", "Zn", "Zn", "Ga", "Cu", "Zn", "Zn", "Cu", "Cu", "Ga", "Zn"], "frac_coords": [[0.759, 0.570, 0.912], [0.251, 0.813, 0.187], [0.749, 0.813, 0.187], [0.736, 0.264, 0.264], [0.759, 0.912, 0.570], [0.000, 0.500, 0.500], [0.251, 0.187, 0.813], [0.241, 0.430, 0.088], [0.241, 0.088, 0.430], [0.264, 0.736, 0.736], [0.749, 0.187, 0.813]]}


[3]
{"formula": "Zn3GaCu7", "functional": "PBE-GGA", "state": "optimized geometry", "dos_at_fermi_per_ev_cell": 4.53, "delta_e_f_mev_per_atom": 100, "sg": "C2/m, No. 12", "cell": [[4.607, -0.265, -0.340], [-2.416, 5.960, 0.605], [-2.416, -0.858, 5.929]], "species": ["Zn", "Cu", "Cu", "Cu", "Zn", "Cu", "Cu", "Cu", "Zn", "Ga", "Cu"], "frac_coords": [[0.000, 0.795, 0.205], [0.329, 0.065, 0.584], [0.329, 0.584, 0.065], [0.671, 0.935, 0.416], [0.500, 0.000, 0.000], [0.389, 0.221, 0.221], [0.611, 0.779, 0.779], [0.000, 0.500, 0.500], [0.000, 0.205, 0.795], [0.500, 0.500, 0.500], [0.671, 0.416, 0.935]]}


[4]
{"formula": "Zn8GaCu5", "functional": "PBE-GGA", "state": "optimized geometry", "dos_at_fermi_per_ev_cell": 3.60, "delta_e_f_mev_per_atom": 44, "sg": "I-4, No. 82", "cell": [[-1.840, 3.175, 5.341], [1.773, -6.145, 1.047], [4.805, 3.833, -2.052]], "species": ["Zn", "Zn", "Zn", "Zn", "Zn", "Cu", "Cu", "Cu", "Zn", "Ga", "Cu", "Zn", "Cu", "Zn"], "frac_coords": [[0.670, 0.401, 0.928], [0.595, 0.943, 0.855], [0.072, 0.742, 0.473], [0.912, 0.057, 0.652], [0.527, 0.599, 0.269], [0.864, 0.921, 0.193], [0.500, 0.000, 0.500], [0.807, 0.671, 0.728], [0.731, 0.258, 0.330], [0.250, 0.500, 0.750], [0.272, 0.079, 0.943], [0.145, 0.740, 0.088], [0.057, 0.329, 0.136], [0.348, 0.260, 0.405]]}